Model P:
Crystalline Sc3VO at its relaxed geometry. Source: Alexandria via LeMat-Bulk, functional PBE with a Hubbard U.

The density of states at the Fermi level comes out at 5.0 states/eV/cell.

a = 4.4583 Å, b = 4.4583 Å, c = 4.4583 Å
α = 90.00°, β = 90.00°, γ = 90.00°
Space group Pm-3m (No. 221)
One atom of each set of equivalent atoms:
1 Sc 0.0000 0.0000 0.5000
2 V 0.5000 0.5000 0.5000
3 O 0.0000 0.0000 0.0000

---

Model Q:
Crystalline Sc3VO at its relaxed geometry. Source: Alexandria via LeMat-Bulk, functional PBE with a Hubbard U.

The density of states at the Fermi level comes out at 3.9 states/eV/cell.

a = 4.8434 Å, b = 4.8434 Å, c = 4.8434 Å
α = 90.00°, β = 90.00°, γ = 90.00°
Space group Pm-3m (No. 221)
One atom of each set of equivalent atoms:
1 Sc 0.0000 0.0000 0.5000
2 V 0.0000 0.0000 0.0000
3 O 0.5000 0.5000 0.5000

---

Energies relative to the minimum, meV/atom: model P 0; model Q 1988

---

Model P:
Crystalline ScV3O at its relaxed geometry. Source: Alexandria via LeMat-Bulk, functional PBE with a Hubbard U.

The density of states at the Fermi level comes out at 6.7 states/eV/cell.

a = 5.0270 Å, b = 5.0270 Å, c = 5.0270 Å
α = 90.00°, β = 90.00°, γ = 90.00°
Space group Pm-3m (No. 221)
One atom of each set of equivalent atoms:
1 Sc 0.0000 0.0000 0.0000
2 V 0.0000 0.0000 0.5000
3 O 0.5000 0.5000 0.5000

---

Model Q:
Crystalline ScV3O at its relaxed geometry. Source: Alexandria via LeMat-Bulk, functional PBE with a Hubbard U.

The density of states at the Fermi level comes out at 3.8 states/eV/cell.

a = 4.1630 Å, b = 4.1630 Å, c = 4.1630 Å
α = 90.00°, β = 90.00°, γ = 90.00°
Space group Pm-3m (No. 221)
One atom of each set of equivalent atoms:
1 Sc 0.0000 0.0000 0.0000
2 V 0.0000 0.5000 0.5000
3 O 0.5000 0.5000 0.5000

---

Energies relative to the minimum, meV/atom: model P 2076; model Q 0

---

Model P:
Crystalline Sc3VO6 at its relaxed geometry. Source: Alexandria via LeMat-Bulk, functional PBE with a Hubbard U.

The density of states at the Fermi level comes out at 0.0 states/eV/cell.

a = 8.9000 Å, b = 8.9000 Å, c = 10.3752 Å
α = 90.00°, β = 90.00°, γ = 120.00°
Space group R-3 (No. 148, hexagonal axes)
One atom of each set of equivalent atoms:
1 Sc 0.0423 0.7748 0.2056
2 V 0.0000 0.0000 0.0000
3 V 0.0000 0.0000 0.5000
4 O 0.0245 0.8130 0.4002
5 O 0.0269 0.8396 0.8754

---

Model Q:
Crystalline Sc3VO6 at its relaxed geometry. Source: Alexandria via LeMat-Bulk, functional PBE with a Hubbard U.

The density of states at the Fermi level comes out at 0.0 states/eV/cell.

a = 8.4097 Å, b = 10.3228 Å, c = 5.2693 Å
α = 90.00°, β = 90.00°, γ = 90.00°
Space group Cmc2_1 (No. 36)
One atom of each set of equivalent atoms:
1 Sc 0.0000 0.1017 0.0000
2 Sc 0.2085 0.3820 0.9462
3 V 0.0000 0.3490 0.4259
4 O 0.0000 0.2770 0.7595
5 O 0.0000 0.4780 0.0984
6 O 0.1552 0.2438 0.2288
7 O 0.1610 0.0177 0.7263

---

Energies relative to the minimum, meV/atom: model P 0; model Q 110

---

Model P:
Crystalline ScWO2 at its relaxed geometry. Source: Alexandria via LeMat-Bulk, functional PBE with a Hubbard U.

The density of states at the Fermi level comes out at 1.7 states/eV/cell.

a = 3.1672 Å, b = 3.1672 Å, c = 19.0647 Å
α = 90.00°, β = 90.00°, γ = 120.00°
Space group R-3m (No. 166, hexagonal axes)
One atom of each set of equivalent atoms:
1 Sc 0.0000 0.0000 0.0000
2 W 0.0000 0.0000 0.5000
3 O 0.0000 0.0000 0.3882

---

Model Q:
Crystalline ScWO2 at its relaxed geometry. Source: Alexandria via LeMat-Bulk, functional PBE with a Hubbard U.

The density of states at the Fermi level comes out at 5.2 states/eV/cell.

a = 4.9067 Å, b = 4.9067 Å, c = 9.7419 Å
α = 90.00°, β = 90.00°, γ = 90.00°
Space group I-42d (No. 122)
One atom of each set of equivalent atoms:
1 Sc 0.0000 0.0000 0.0000
2 W 0.0000 0.0000 0.5000
3 O 0.2317 0.2500 0.1250

---

Energies relative to the minimum, meV/atom: model P 0; model Q 464